Below is crystalline Y4GaSe2Cl at its relaxed geometry, with properties calculated at the PBE level.

Properties
* total energy: -48.8 eV/f.u.
* formation energy without anion corrections: -1.39 eV per atom
* Fermi-level density of states: 0.4985 states/eV/atom
* symmetry: P2/m (10)
* crystal system: monoclinic

Unit cell a=7.133 b=4.070 c=7.135 alpha=90.00 beta=108.88 gamma=90.00
Sites, in units of the cell vectors:
Y  0.230  0.000  0.244
Y  0.239  0.500  0.745
Y  0.761  0.500  0.255
Y  0.770  0.000  0.756
Ga  0.000  0.000  0.500
Se  0.000  0.500  0.000
Se  0.500  0.000  0.000
Cl  0.500  0.500  0.500